# 1
The following is a PBE calculation of MgPbAu3 after structural relaxation, from Alexandria via LeMat-Bulk.

Crystal system: cubic
Magnetization, μB/f.u.: 0.0
ΔE to the lowest computed polymorph, meV per atom: 0

Cell and atoms, written as CIF:
```
data_MgPbAu3
_space_group_name_H-M_alt 'P m -3 m'
_space_group_IT_number 221
_space_group_name_Hall '-P 4 2 3'
_cell_length_a 4.997
_cell_length_b 4.997
_cell_length_c 4.997
_cell_angle_alpha 90.00
_cell_angle_beta 90.00
_cell_angle_gamma 90.00
loop_
_atom_site_label
_atom_site_type_symbol
_atom_site_fract_x
_atom_site_fract_y
_atom_site_fract_z
_atom_site_occupancy
Mg1 Mg 0.000 0.000 0.000 1
Pb1 Pb 0.500 0.500 0.500 1
Au1 Au 0.000 0.000 0.500 1
```

---

# 2
The following is a PBE calculation of Mg8Pb2Au3 after structural relaxation, from Alexandria via LeMat-Bulk.

Crystal system: monoclinic
Magnetization, μB/f.u.: 0.0

Cell and atoms, written as CIF:
```
data_Mg8Pb2Au3
_space_group_name_H-M_alt 'P 1 2/m 1'
_space_group_IT_number 10
_cell_length_a 8.593
_cell_length_b 4.567
_cell_length_c 8.598
_cell_angle_alpha 90.00
_cell_angle_beta 115.47
_cell_angle_gamma 90.00
loop_
_space_group_symop_operation_xyz
'x,y,z'
'-x,-y,-z'
'-x,y,-z'
'x,-y,z'
loop_
_atom_site_label
_atom_site_type_symbol
_atom_site_fract_x
_atom_site_fract_y
_atom_site_fract_z
_atom_site_occupancy
Mg1 Mg 0.108 0.000 0.392 1
Mg2 Mg 0.135 0.500 0.864 1
Mg3 Mg 0.363 0.500 0.635 1
Mg4 Mg 0.381 0.000 0.119 1
Pb1 Pb 0.245 0.500 0.256 1
Au1 Au 0.252 0.000 0.752 1
Au2 Au 0.500 0.500 0.000 1
```

---

# 3
The following is a PBE calculation of Mg2PbAu after structural relaxation, from Alexandria via LeMat-Bulk.

Crystal system: cubic
Magnetization, μB/f.u.: 0.0

Cell and atoms, written as CIF:
```
data_Mg2PbAu
_space_group_name_H-M_alt 'F -4 3 m'
_space_group_IT_number 216
_space_group_name_Hall 'F -4 2 3'
_cell_length_a 7.120
_cell_length_b 7.120
_cell_length_c 7.120
_cell_angle_alpha 90.00
_cell_angle_beta 90.00
_cell_angle_gamma 90.00
loop_
_atom_site_label
_atom_site_type_symbol
_atom_site_fract_x
_atom_site_fract_y
_atom_site_fract_z
_atom_site_occupancy
Mg1 Mg 0.000 0.000 0.000 1
Mg2 Mg 0.250 0.250 0.250 1
Pb1 Pb 0.000 0.000 0.500 1
Au1 Au 0.250 0.250 0.750 1
```

---

# 4
The following is a PBE calculation of Mg2PbAu after structural relaxation, from Alexandria via LeMat-Bulk.

Crystal system: trigonal
Magnetization, μB/f.u.: 0.0

Cell and atoms, written as CIF:
```
data_Mg2PbAu
_space_group_name_H-M_alt 'R 3 m'
_space_group_IT_number 160
_space_group_name_Hall 'R 3 -2"'
_cell_length_a 3.5944
_cell_length_b 3.5944
_cell_length_c 25.4297
_cell_angle_alpha 90.00
_cell_angle_beta 90.00
_cell_angle_gamma 120.00
loop_
_atom_site_label
_atom_site_type_symbol
_atom_site_fract_x
_atom_site_fract_y
_atom_site_fract_z
_atom_site_occupancy
Mg1 Mg 0.0000 0.0000 0.0000 1
Mg2 Mg 0.0000 0.0000 0.1925 1
Pb1 Pb 0.0000 0.0000 0.4306 1
Au1 Au 0.0000 0.0000 0.5963 1
```

---

# 5
The following is a PBE calculation of Mg6Pb2Au after structural relaxation, from Alexandria via LeMat-Bulk.

Crystal system: hexagonal
Magnetization, μB/f.u.: 0.0

Cell and atoms, written as CIF:
```
data_Mg6Pb2Au
_space_group_name_H-M_alt 'P -6 2 m'
_space_group_IT_number 189
_space_group_name_Hall 'P -6 -2'
_cell_length_a 7.8103
_cell_length_b 7.8103
_cell_length_c 4.0103
_cell_angle_alpha 90.00
_cell_angle_beta 90.00
_cell_angle_gamma 120.00
loop_
_atom_site_label
_atom_site_type_symbol
_atom_site_fract_x
_atom_site_fract_y
_atom_site_fract_z
_atom_site_occupancy
Mg1 Mg 0.0000 0.3690 0.0000 1
Mg2 Mg 0.0000 0.7567 0.5000 1
Pb1 Pb 0.3333 0.6667 0.5000 1
Au1 Au 0.0000 0.0000 0.0000 1
```

---

# 6
The following is a PBE calculation of Mg4PbAu5 after structural relaxation, from Alexandria via LeMat-Bulk.

Crystal system: tetragonal
Magnetization, μB/f.u.: 0.0

Cell and atoms, written as CIF:
```
data_Mg4PbAu5
_space_group_name_H-M_alt 'P 4/m m m'
_space_group_IT_number 123
_space_group_name_Hall '-P 4 2'
_cell_length_a 3.362
_cell_length_b 3.362
_cell_length_c 17.076
_cell_angle_alpha 90.00
_cell_angle_beta 90.00
_cell_angle_gamma 90.00
loop_
_atom_site_label
_atom_site_type_symbol
_atom_site_fract_x
_atom_site_fract_y
_atom_site_fract_z
_atom_site_occupancy
Mg1 Mg 0.000 0.000 0.094 1
Mg2 Mg 0.000 0.000 0.284 1
Pb1 Pb 0.000 0.000 0.500 1
Au1 Au 0.500 0.500 0.000 1
Au2 Au 0.500 0.500 0.188 1
Au3 Au 0.500 0.500 0.373 1
```

---

# 7
The following is a PBE calculation of Mg5PbAu4 after structural relaxation, from Alexandria via LeMat-Bulk.

Crystal system: tetragonal
Magnetization, μB/f.u.: 0.0

Cell and atoms, written as CIF:
```
data_Mg5PbAu4
_space_group_name_H-M_alt 'P 4/m m m'
_space_group_IT_number 123
_space_group_name_Hall '-P 4 2'
_cell_length_a 3.364
_cell_length_b 3.364
_cell_length_c 17.371
_cell_angle_alpha 90.00
_cell_angle_beta 90.00
_cell_angle_gamma 90.00
loop_
_atom_site_label
_atom_site_type_symbol
_atom_site_fract_x
_atom_site_fract_y
_atom_site_fract_z
_atom_site_occupancy
Mg1 Mg 0.000 0.000 0.000 1
Mg2 Mg 0.000 0.000 0.184 1
Mg3 Mg 0.000 0.000 0.367 1
Pb1 Pb 0.500 0.500 0.500 1
Au1 Au 0.500 0.500 0.092 1
Au2 Au 0.500 0.500 0.277 1
```

---

# 8
The following is a PBE calculation of Mg5Pb2Au2 after structural relaxation, from Alexandria via LeMat-Bulk.

Crystal system: orthorhombic
Magnetization, μB/f.u.: 0.0

Cell and atoms, written as CIF:
```
data_Mg5Pb2Au2
_space_group_name_H-M_alt 'C m c e'
_space_group_IT_number 64
_space_group_name_Hall '-C 2ac 2'
_cell_length_a 15.344
_cell_length_b 7.369
_cell_length_c 7.402
_cell_angle_alpha 90.00
_cell_angle_beta 90.00
_cell_angle_gamma 90.00
loop_
_atom_site_label
_atom_site_type_symbol
_atom_site_fract_x
_atom_site_fract_y
_atom_site_fract_z
_atom_site_occupancy
Mg1 Mg 0.000 0.000 0.000 1
Mg2 Mg 0.115 0.161 0.338 1
Pb1 Pb 0.219 0.000 0.000 1
Au1 Au 0.000 0.140 0.639 1
```

---

It is found that the uncorrected energy values, taken in the order of the records, are -0.105 -0.096 -0.097 -0.102 -0.091 -0.116 -0.110 -0.101 Ha/atom.